No. 1
# Sr2PuNbN4

A relaxed Sr2PuNbN4 crystal (GGA-PBE, the Alexandria database).

a = 5.8979 Å, b = 3.4202 Å, c = 6.2092 Å
α = 90.00°, β = 108.11°, γ = 90.00°
With the nearest neighbours (Å) after each atom.
Space group P2/m (No. 10)
One atom of each set of equivalent atoms:
Sr (0.0000, 0.0000, 0.0000) [1 per cell]  6 N 2.68-2.73
Sr (0.5000, 0.5000, 0.0000) [1 per cell]  6 N 2.60-2.63
Pu (0.0000, 0.5000, 0.5000) [1 per cell]  6 N 2.33-2.34
Nb (0.5000, 0.0000, 0.5000) [1 per cell]  6 N 2.18-2.27
N (0.2500, 0.0000, 0.6958) [2 per cell]  1 Nb 2.18, 2 Pu 2.34
N (0.2764, 0.5000, 0.3014) [2 per cell]  2 Nb 2.27, 1 Pu 2.33

Values from the calculation:
Uncorrected formation energy (eV/atom): -0.998
V (Å³/cell): 119
Electronic total energy (eV/atom): -8.63

No. 2
# Pu2TaNbN5

A relaxed Pu2TaNbN5 crystal (GGA-PBE, the Alexandria database).

a = 3.3002 Å, b = 13.2932 Å, c = 10.4207 Å
α = 90.00°, β = 90.00°, γ = 90.00°
With the nearest neighbours (Å) after each atom.
Space group Cmc2_1 (No. 36)
One atom of each set of equivalent atoms:
Pu (0.0000, 0.1083, 0.0000) [4 per cell]  4 N 2.31-2.57
Pu (0.0000, 0.1464, 0.5928) [4 per cell]  6 N 2.41-2.60
Ta (0.0000, 0.2184, 0.3141) [4 per cell]  6 N 2.01-2.24
Nb (0.0000, 0.4759, 0.7689) [4 per cell]  4 N 2.00-2.09
N (0.0000, 0.0562, 0.3709) [4 per cell]  2 Nb 2.01, 1 Ta 2.24
N (0.0000, 0.2780, 0.9539) [4 per cell]  2 Ta 2.20, 3 Pu 2.31-2.41
N (0.0000, 0.3158, 0.6831) [4 per cell]  2 Ta 2.19, 1 Nb 2.31, 1 Pu 2.44
N (0.0000, 0.3695, 0.3042) [4 per cell]  1 Ta 2.01, 1 Nb 2.09
N (0.0000, 0.4897, 0.0823) [4 per cell]  1 Nb 2.00

Values from the calculation:
Uncorrected formation energy (eV/atom): -1.129
V (Å³/cell): 457
Electronic total energy (eV/atom): -11.37

No. 3
# PuTaNbN3

A relaxed PuTaNbN3 crystal (GGA-PBE, the Alexandria database).

a = 6.6718 Å, b = 3.1122 Å, c = 8.1324 Å
α = 90.00°, β = 94.83°, γ = 90.00°
With the nearest neighbours (Å) after each atom.
Space group P2_1/m (No. 11)
One atom of each set of equivalent atoms:
Pu (0.1443, 0.2500, 0.1764) [2 per cell]  7 N 2.41-2.50
Ta (0.3662, 0.7500, 0.8717) [2 per cell]  5 N 2.12-2.16
Nb (0.1608, 0.2500, 0.5854) [2 per cell]  4 N 2.12-2.32
N (0.1414, 0.2500, 0.8686) [2 per cell]  2 Ta 2.16, 1 Nb 2.32
N (0.1602, 0.7500, 0.4089) [2 per cell]  3 Nb 2.12-2.15
N (0.4097, 0.7500, 0.1329) [2 per cell]  3 Ta 2.12-2.16

Values from the calculation:
Uncorrected formation energy (eV/atom): -0.991
V (Å³/cell): 168
Electronic total energy (eV/atom): -11.20